Here is crystalline LaSiHg2Ge at its relaxed geometry from the Alexandria database. Energies are from GGA-PBEsol.

The structure in POSCAR format:
```
LaSiHg2Ge
1.0
5.7144 0.0000 0.0000
0.0000 5.7144 0.0000
0.0000 0.0000 5.4556
La Si Hg Ge
1 1 2 1
direct
0.0000 0.0000 0.0000 La
0.0000 0.0000 0.5000 Si
0.0000 0.5000 0.0000 Hg
0.5000 0.0000 0.0000 Hg
0.5000 0.5000 0.5000 Ge
```

N(E_F), states/eV per atom: 0.6535
Final energy, eV/atom: -2.42
M_tot, μB/atom: 0.00
E_form (uncorrected), eV per atom: 1.02